Here is a relaxed Ta3MoBr crystal from Alexandria via LeMat-Bulk. Energies are from PBEsol.

Computed properties:
Fermi-level density of states: 5.76 states/eV/cell
raw formation energy: 37.334 kcal/mol of atoms

a = 4.839 Å, b = 4.839 Å, c = 4.839 Å
α = 90.00°, β = 90.00°, γ = 90.00°
Space group Pm-3m (No. 221)
One atom of each set of equivalent atoms:
Ta1 0.000 0.000 0.500 x3
Mo1 0.000 0.000 0.000 x1
Br1 0.500 0.500 0.500 x1